i.
KBeIr (PBE, relaxed); crystal system = cubic; symmetry = No. 216
1.0
0.000 3.085 3.085
3.085 0.000 3.085
3.085 3.085 0.000
K Be Ir
1 1 1
direct
0.000 0.000 0.000 K
0.750 0.750 0.750 Be
0.500 0.500 0.500 Ir

ii.
KBeIr (PBE, relaxed); crystal system = trigonal; symmetry = No. 156
1.0
2.917 0.000 0.000
-1.459 2.526 0.000
0.000 0.000 7.297
K Be Ir
1 1 1
direct
0.000 0.000 0.000 K
0.667 0.333 0.413 Be
0.333 0.667 0.623 Ir

iii.
KBeIr (PBE, relaxed); crystal system = tetragonal; symmetry = No. 107
1.0
-1.569 1.569 5.796
1.569 -1.569 5.796
1.569 1.569 -5.796
K Be Ir
1 1 1
direct
0.000 0.000 0.000 K
0.256 0.256 0.000 Be
0.729 0.729 0.000 Ir

iv.
KBeIr (PBE, relaxed); crystal system = cubic; symmetry = No. 216
1.0
0.000 3.266 3.266
3.266 0.000 3.266
3.266 3.266 0.000
K Be Ir
1 1 1
direct
0.000 0.000 0.000 K
0.750 0.750 0.750 Be
0.250 0.250 0.250 Ir

The computed energies, referenced to the most stable structure and given in kJ/mol of atoms, are i 104.6; ii 47.5; iii 0.0; iv 211.0.

i.
LaBe2Ir2 (PBE, relaxed); crystal system = orthorhombic; symmetry = No. 70
1.0
0.000 4.960 6.247
2.722 0.000 6.247
2.722 4.960 0.000
La Be Ir
2 4 4
direct
0.125 0.125 0.125 La
0.875 0.875 0.875 La
0.196 0.554 0.196 Be
0.446 0.804 0.446 Be
0.554 0.196 0.554 Be
0.804 0.446 0.804 Be
0.256 0.256 0.494 Ir
0.494 0.494 0.256 Ir
0.506 0.506 0.744 Ir
0.744 0.744 0.506 Ir

ii.
LaBe2Ir2 (PBE, relaxed); crystal system = tetragonal; symmetry = No. 127
1.0
7.146 0.000 0.000
0.000 7.146 0.000
0.000 0.000 2.947
La Be Ir
2 4 4
direct
0.000 0.000 0.000 La
0.500 0.500 0.000 La
0.112 0.388 0.000 Be
0.388 0.888 0.000 Be
0.612 0.112 0.000 Be
0.888 0.612 0.000 Be
0.153 0.653 0.500 Ir
0.347 0.153 0.500 Ir
0.653 0.847 0.500 Ir
0.847 0.347 0.500 Ir

The computed energies, referenced to the most stable structure and given in kJ/mol of atoms, are i 0.0; ii 23.7.

i.
LaBeZnIrS (PBE, relaxed); crystal system = monoclinic; symmetry = No. 8
1.0
4.466 -2.020 0.000
4.466 2.020 0.000
-3.691 0.000 5.608
La Be Zn Ir S
1 1 1 1 1
direct
0.000 0.000 0.000 La
0.814 0.814 0.449 Be
0.515 0.515 0.448 Zn
0.263 0.263 0.522 Ir
0.244 0.244 0.863 S

ii.
LaBeZnIrS (PBE, relaxed); crystal system = orthorhombic; symmetry = No. 44
1.0
-1.935 2.189 5.584
1.935 -2.189 5.584
1.935 2.189 -5.584
La Be Zn Ir S
1 1 1 1 1
direct
0.000 0.000 0.000 La
0.754 0.254 0.500 Be
0.266 0.766 0.500 Zn
0.667 0.667 0.000 Ir
0.459 0.459 0.000 S

The computed energies, referenced to the most stable structure and given in kJ/mol of atoms, are i 12.0; ii 0.0.

i.
LaBeZnIrS (PBE, relaxed); crystal system = monoclinic; symmetry = No. 8
1.0
5.804 -1.978 0.000
5.804 1.978 0.000
-0.338 0.000 4.106
La Be Zn Ir S
1 1 1 1 1
direct
0.000 0.000 0.000 La
0.617 0.617 0.538 Be
0.227 0.227 0.566 Zn
0.693 0.693 0.052 Ir
0.435 0.435 0.480 S

ii.
LaBeZnIrS (PBE, relaxed); crystal system = orthorhombic; symmetry = No. 25
1.0
3.463 0.000 0.000
0.000 3.522 0.000
0.000 0.000 8.189
La Be Zn Ir S
1 1 1 1 1
direct
0.000 0.000 0.000 La
0.500 0.000 0.676 Be
0.500 0.500 0.457 Zn
0.000 0.500 0.688 Ir
0.500 0.500 0.173 S

The computed energies, referenced to the most stable structure and given in kJ/mol of atoms, are i 0.0; ii 17.0.

i.
LaBeZnIrS (PBE, relaxed); crystal system = monoclinic; symmetry = No. 8
1.0
3.454 -2.002 0.000
3.454 2.002 0.000
-2.312 0.000 7.501
La Be Zn Ir S
1 1 1 1 1
direct
0.000 0.000 0.000 La
0.765 0.765 0.296 Be
0.155 0.155 0.466 Zn
0.427 0.427 0.280 Ir
0.259 0.259 0.775 S

ii.
LaBeZnIrS (PBE, relaxed); crystal system = monoclinic; symmetry = No. 8
1.0
4.246 -2.083 0.000
4.246 2.083 0.000
-0.952 0.000 5.652
La Be Zn Ir S
1 1 1 1 1
direct
0.000 0.000 0.000 La
0.435 0.435 0.527 Be
0.734 0.734 0.405 Zn
0.042 0.042 0.494 Ir
0.287 0.287 0.801 S

The computed energies, referenced to the most stable structure and given in kJ/mol of atoms, are i 0.0; ii 9.5.

i.
MgBeIr2 (PBE, relaxed); crystal system = tetragonal; symmetry = No. 123
1.0
2.892 0.000 0.000
0.000 2.892 0.000
0.000 0.000 6.295
Mg Be Ir
1 1 2
direct
0.000 0.000 0.000 Mg
0.000 0.000 0.500 Be
0.500 0.500 0.286 Ir
0.500 0.500 0.714 Ir

ii.
MgBeIr2 (PBE, relaxed); crystal system = tetragonal; symmetry = No. 99
1.0
2.917 0.000 0.000
0.000 2.917 0.000
0.000 0.000 6.431
Mg Be Ir
1 1 2
direct
0.000 0.000 0.000 Mg
0.500 0.500 0.283 Be
0.000 0.000 0.438 Ir
0.500 0.500 0.732 Ir

The computed energies, referenced to the most stable structure and given in kJ/mol of atoms, are i 0.0; ii 15.2.

i.
MgBeIr2 (PBE, relaxed); crystal system = orthorhombic; symmetry = No. 44
1.0
-1.452 2.091 4.442
1.452 -2.091 4.442
1.452 2.091 -4.442
Mg Be Ir
1 1 2
direct
0.000 0.000 0.000 Mg
0.262 0.762 0.500 Be
0.476 0.476 0.000 Ir
0.729 0.229 0.500 Ir

ii.
MgBeIr2 (PBE, relaxed); crystal system = monoclinic; symmetry = No. 12
1.0
4.686 -1.435 0.000
4.686 1.435 0.000
-2.229 0.000 4.021
Mg Be Ir
1 1 2
direct
0.000 0.000 0.000 Mg
0.500 0.500 0.500 Be
0.219 0.219 0.719 Ir
0.781 0.781 0.281 Ir

The computed energies, referenced to the most stable structure and given in kJ/mol of atoms, are i 12.3; ii 0.0.

i.
MgBeIr2 (PBE, relaxed); crystal system = tetragonal; symmetry = No. 123
1.0
4.180 0.000 0.000
0.000 4.180 0.000
0.000 0.000 2.993
Mg Be Ir
1 1 2
direct
0.000 0.000 0.000 Mg
0.500 0.500 0.000 Be
0.000 0.500 0.500 Ir
0.500 0.000 0.500 Ir

ii.
MgBeIr2 (PBE, relaxed); crystal system = orthorhombic; symmetry = No. 65
1.0
1.498 -2.328 0.000
1.498 2.328 0.000
0.000 0.000 7.800
Mg Be Ir
1 1 2
direct
0.000 0.000 0.000 Mg
0.000 0.000 0.500 Be
0.500 0.500 0.281 Ir
0.500 0.500 0.719 Ir

iii.
MgBeIr2 (PBE, relaxed); crystal system = monoclinic; symmetry = No. 10
1.0
2.802 0.000 0.000
0.000 3.740 0.000
-1.292 0.000 5.195
Mg Be Ir
1 1 2
direct
0.000 0.000 0.000 Mg
0.000 0.000 0.500 Be
0.365 0.500 0.720 Ir
0.635 0.500 0.280 Ir

The computed energies, referenced to the most stable structure and given in kJ/mol of atoms, are i 10.0; ii 11.1; iii 0.0.

i.
MgBeIr2 (PBE, relaxed); crystal system = tetragonal; symmetry = No. 119
1.0
-1.837 1.837 4.051
1.837 -1.837 4.051
1.837 1.837 -4.051
Mg Be Ir
1 1 2
direct
0.000 0.000 0.000 Mg
0.250 0.750 0.500 Be
0.500 0.500 0.000 Ir
0.750 0.250 0.500 Ir

ii.
MgBeIr2 (PBE, relaxed); crystal system = cubic; symmetry = No. 216
1.0
0.000 3.034 3.034
3.034 0.000 3.034
3.034 3.034 0.000
Mg Be Ir
1 1 2
direct
0.000 0.000 0.000 Mg
0.750 0.750 0.750 Be
0.250 0.250 0.250 Ir
0.500 0.500 0.500 Ir

iii.
MgBeIr2 (PBE, relaxed); crystal system = monoclinic; symmetry = No. 6
1.0
2.809 0.000 0.000
0.000 4.154 0.000
-1.388 0.000 4.742
Mg Be Ir
1 1 2
direct
0.000 0.000 0.000 Mg
0.610 0.500 0.224 Be
0.347 0.500 0.698 Ir
0.730 0.000 0.465 Ir

iv.
MgBeIr2 (PBE, relaxed); crystal system = orthorhombic; symmetry = No. 35
1.0
1.417 -2.336 0.000
1.417 2.336 0.000
0.000 0.000 8.693
Mg Be Ir
1 1 2
direct
0.000 0.000 0.000 Mg
0.500 0.500 0.267 Be
0.000 0.000 0.468 Ir
0.500 0.500 0.743 Ir

The computed energies, referenced to the most stable structure and given in kJ/mol of atoms, are i 8.7; ii 15.4; iii 0.0; iv 29.7.

i.
MgBeIr2 (PBE, relaxed); crystal system = cubic; symmetry = No. 225
1.0
0.000 2.968 2.968
2.968 0.000 2.968
2.968 2.968 0.000
Mg Be Ir
1 1 2
direct
0.000 0.000 0.000 Mg
0.500 0.500 0.500 Be
0.250 0.250 0.250 Ir
0.750 0.750 0.750 Ir

ii.
MgBeIr2 (PBE, relaxed); crystal system = trigonal; symmetry = No. 166
1.0
1.426 0.824 7.692
-1.426 0.824 7.692
0.000 -1.647 7.692
Mg Be Ir
1 1 2
direct
0.000 0.000 0.000 Mg
0.500 0.500 0.500 Be
0.239 0.239 0.239 Ir
0.761 0.761 0.761 Ir

iii.
MgBeIr2 (PBE, relaxed); crystal system = orthorhombic; symmetry = No. 47
1.0
2.911 0.000 0.000
0.000 4.072 0.000
0.000 0.000 4.632
Mg Be Ir
1 1 2
direct
0.000 0.000 0.000 Mg
0.500 0.000 0.500 Be
0.000 0.500 0.500 Ir
0.500 0.500 0.000 Ir

iv.
MgBeIr2 (PBE, relaxed); crystal system = tetragonal; symmetry = No. 122
1.0
-1.987 1.987 8.170
1.987 -1.987 8.170
1.987 1.987 -8.170
Mg Be Ir
2 2 4
direct
0.000 0.000 0.000 Mg
0.750 0.250 0.500 Mg
0.250 0.750 0.500 Be
0.500 0.500 0.000 Be
0.194 0.625 0.069 Ir
0.375 0.444 0.569 Ir
0.556 0.125 0.931 Ir
0.875 0.806 0.431 Ir

The computed energies, referenced to the most stable structure and given in kJ/mol of atoms, are i 2.3; ii 0.0; iii 12.4; iv 49.5.